# Dy4ThZn5 | Alexandria | PBE | optimized geometry
data_Dy4ThZn5
_chemical_formula_sum 'Dy4 Th1 Zn5'
_cell_length_a 3.583
_cell_length_b 3.583
_cell_length_c 17.968
_cell_angle_alpha 90.00
_cell_angle_beta 90.00
_cell_angle_gamma 90.00
_space_group_name_H-M_alt 'P 1'
_space_group_IT_number 1
loop_
_space_group_symop_operation_xyz
'x,y,z'
loop_
_atom_site_label
_atom_site_fract_x
_atom_site_fract_y
_atom_site_fract_z
_atom_site_occupancy
Dy1 0.000 0.000 0.204 1
Dy2 0.000 0.000 0.401 1
Dy3 0.000 0.000 0.599 1
Dy4 0.000 0.000 0.796 1
Th1 0.000 0.000 0.000 1
Zn1 0.500 0.500 0.109 1
Zn2 0.500 0.500 0.302 1
Zn3 0.500 0.500 0.500 1
Zn4 0.500 0.500 0.698 1
Zn5 0.500 0.500 0.891 1
# - energy of formation (kJ per mole of atoms) = -29
# - electronic total energy (eV per atom) = -3.524
# - total moment (μB per cell) = 0.00

=====

# DyTh2Zn | Alexandria | PBE | optimized geometry
data_DyTh2Zn
_chemical_formula_sum 'Dy1 Th2 Zn1'
_cell_length_a 5.408
_cell_length_b 5.408
_cell_length_c 5.408
_cell_angle_alpha 60.00
_cell_angle_beta 60.00
_cell_angle_gamma 60.00
_space_group_name_H-M_alt 'P 1'
_space_group_IT_number 1
loop_
_space_group_symop_operation_xyz
'x,y,z'
loop_
_atom_site_label
_atom_site_fract_x
_atom_site_fract_y
_atom_site_fract_z
_atom_site_occupancy
Zn1 0.500 0.500 0.500 1
Th1 0.750 0.750 0.750 1
Th2 0.250 0.250 0.250 1
Dy1 0.000 0.000 0.000 1
# - energy of formation (kJ per mole of atoms) = 11
# - electronic total energy (eV per atom) = -5.063
# - energy relative to the lowest polymorph listed for this composition (meV/atom) = 129.8
# - total moment (μB per cell) = 0.00